No. 1
# PrHo15In4

A relaxed PrHo15In4 crystal (GGA-PBE, the Alexandria database).

Computed properties:
The formation energy is -0.196 eV per atom. Its uncorrected energy is -88.32 eV/cell.

Unit cell a=4.8405 b=4.8405 c=24.6665 alpha=90.00 beta=90.00 gamma=90.00
Closest atoms and distances in Å follow each position.
Space group P4/mmm (No. 123)
Inequivalent atoms, fractional coordinates:
Pr  0.0000  0.0000  0.0000 x1  12 Ho 3.42-3.58
Ho  0.0000  0.5000  0.1071 x4  8 Ho 3.42-3.58, 2 In 3.46, 2 Pr 3.58
Ho  0.0000  0.5000  0.3042 x4  4 In 3.40-3.42, 8 Ho 3.41-3.42
Ho  0.0000  0.5000  0.5000 x2  4 In 3.41, 8 Ho 3.41-3.42
Ho  0.5000  0.5000  0.0000 x1  4 Pr 3.42, 8 Ho 3.58
Ho  0.5000  0.5000  0.2068 x2  8 Ho 3.41-3.45, 4 In 3.42
Ho  0.5000  0.5000  0.4023 x2  8 Ho 3.41-3.42, 4 In 3.42
In  0.0000  0.0000  0.2072 x2  12 Ho 3.40-3.46
In  0.0000  0.0000  0.4024 x2  12 Ho 3.41-3.42

No. 2
# PrHo6In6

A relaxed PrHo6In6 crystal (GGA-PBE, the Alexandria database).

Computed properties:
The formation energy is -0.336 eV per atom. Its uncorrected energy is -53.04 eV/cell.

Unit cell a=6.2426 b=6.2426 c=10.7621 alpha=90.00 beta=90.00 gamma=120.00
Closest atoms and distances in Å follow each position.
Space group P6/mmm (No. 191)
Inequivalent atoms, fractional coordinates:
Pr  0.0000  0.0000  0.0000 x1  8 Ho 3.60-3.67
Ho  0.0000  0.0000  0.3406 x2  6 In 3.28, 1 Ho 3.43, 1 Pr 3.67
Ho  0.3333  0.6667  0.0000 x2  6 In 3.20
Ho  0.3333  0.6667  0.5000 x2  6 In 3.28, 3 Ho 3.60
In  0.0000  0.5000  0.2455 x6  4 In 3.12, 6 Ho 3.20-3.28

No. 3
# Pr6HoIn2

A relaxed Pr6HoIn2 crystal (GGA-PBE, the Alexandria database).

Computed properties:
The formation energy is -0.084 eV per atom. Its uncorrected energy is -78.98 eV/cell. The value obtained for the energy above the lowest structure with this stoichiometry is 0.113 eV/atom.

Unit cell a=17.6038 b=9.5510 c=3.5025 alpha=90.00 beta=101.32 gamma=90.00
Closest atoms and distances in Å follow each position.
Space group C2/m (No. 12)
Inequivalent atoms, fractional coordinates:
Pr  0.0000  0.1640  0.0000 x4  5 Pr 3.13-3.50
Pr  0.1699  0.3143  0.1684 x8  6 Pr 3.27-3.55, 3 In 3.48-3.52
Ho  0.0000  0.5000  0.5000 x2  2 Ho 3.50, 12 Pr 3.66-3.85
In  0.1537  0.0000  0.6507 x4  10 Pr 3.48-3.55, 2 In 3.50